Record 1
## LiNpInI6 (PBE)

Data for crystalline LiNpInI6 at its relaxed geometry.

Cell: 7.729 7.729 15.057 Å, 90.00 90.00 120.00°
Last column: magnetic moment on the atom in μB.
Fractional coordinates of all 18 atoms:
I1 0.640 0.999 0.365  -0.05
In1 0.000 0.000 0.000  -0.03
I2 0.360 0.359 0.865  -0.05
Np1 0.667 0.333 0.750  3.41
I3 0.999 0.359 0.635  -0.05
I4 0.359 0.999 0.135  -0.05
Li1 0.333 0.667 0.750  0.00
I5 0.360 0.001 0.635  -0.05
I6 0.001 0.641 0.365  -0.05
I7 0.640 0.641 0.135  -0.05
I8 0.001 0.360 0.135  -0.05
I9 0.641 0.640 0.635  -0.05
I10 0.641 0.001 0.865  -0.05
I11 0.359 0.360 0.365  -0.05
In2 0.000 0.000 0.500  -0.03
Li2 0.667 0.333 0.250  0.00
I12 0.999 0.640 0.865  -0.05
Np2 0.333 0.667 0.250  3.41

Results
**E_form (uncorrected)**: -0.80 eV per atom
**Total magnetization**: 3.0 μB/f.u.
**Theoretical density**: 4.78 g/cm³

***

Record 2
## LiNpIn2I6 (PBE)

Data for crystalline LiNpIn2I6 at its relaxed geometry.

Cell: 8.327 8.327 8.572 Å, 60.93 60.93 60.00°
Last column: magnetic moment on the atom in μB.
Fractional coordinates of all 10 atoms:
I1 0.979 0.587 0.260  -0.02
Li1 0.319 0.318 0.045  0.00
I2 0.663 0.083 0.772  -0.02
I3 0.481 0.663 0.772  -0.02
I4 0.587 0.174 0.260  -0.02
I5 0.083 0.481 0.772  -0.02
I6 0.174 0.979 0.260  -0.02
In1 0.524 0.524 0.429  0.00
In2 0.028 0.028 0.917  0.00
Np1 0.824 0.824 0.529  4.00

Results
**E_form (uncorrected)**: -0.75 eV per atom
**Total magnetization**: 4.0 μB/f.u.
**Theoretical density**: 4.81 g/cm³

***

Record 3
## Li2InIO6 (PBE)

Data for crystalline Li2InIO6 at its relaxed geometry.

Cell: 5.241 5.240 5.553 Å, 61.84 61.84 60.00°
Fractional coordinates of all 10 atoms:
Li1 0.535 0.535 0.395
O1 0.118 0.406 0.781
O2 0.955 0.570 0.250
O3 0.406 0.695 0.781
Li2 0.024 0.024 0.928
O4 0.695 0.118 0.781
O5 0.224 0.955 0.250
In1 0.813 0.813 0.562
I1 0.322 0.322 0.035
O6 0.570 0.224 0.250

Results
**E_form (uncorrected)**: -1.19 eV per atom
**Total magnetization**: 0.0 μB/f.u.
**Theoretical density**: 5.27 g/cm³

***

Record 4
## LiInI2O (PBE)

Data for crystalline LiInI2O at its relaxed geometry.

Cell: 5.756 5.756 3.778 Å, 90.00 90.00 90.00°
Fractional coordinates of all 5 atoms:
I1 0.000 0.500 0.000
I2 0.500 0.000 0.000
Li1 0.000 0.000 0.000
O1 0.000 0.000 0.500
In1 0.500 0.500 0.500

Results
**E_form (uncorrected)**: -0.26 eV per atom
**Energy above the lowest structure with this stoichiometry**: 0.438 eV per atom
**Total magnetization**: 0.0 μB/f.u.
**Theoretical density**: 5.19 g/cm³

***

Record 5
## LiInI2O (PBE)

Data for crystalline LiInI2O at its relaxed geometry.

Cell: 6.084 6.084 3.949 Å, 90.00 90.00 90.00°
Fractional coordinates of all 5 atoms:
O1 0.000 0.000 0.500
Li1 0.500 0.500 0.500
I1 0.000 0.500 0.000
In1 0.000 0.000 0.000
I2 0.500 0.000 0.000

Results
**E_form (uncorrected)**: -0.70 eV per atom
**Energy above the lowest structure with this stoichiometry**: 0.000 eV per atom
**Total magnetization**: 0.0 μB/f.u.
**Theoretical density**: 4.45 g/cm³

***

Record 6
## LiInIO (PBE)

Data for crystalline LiInIO at its relaxed geometry.

Cell: 3.730 3.730 14.518 Å, 82.62 82.62 60.00°
Fractional coordinates of all 8 atoms:
Li1 0.231 0.231 0.307
Li2 0.769 0.769 0.693
I1 0.394 0.394 0.817
In1 0.500 0.500 0.500
In2 0.000 0.000 0.000
O1 0.811 0.811 0.567
I2 0.606 0.606 0.183
O2 0.189 0.189 0.433

Results
**E_form (uncorrected)**: -0.99 eV per atom
**Total magnetization**: 0.0 μB/f.u.
**Theoretical density**: 5.08 g/cm³

***

Record 7
## Li2PmInI6 (PBE)

Data for crystalline Li2PmInI6 at its relaxed geometry.

Cell: 7.893 7.892 8.527 Å, 62.43 62.42 59.99°
Fractional coordinates of all 10 atoms:
I1 0.906 0.602 0.237
In1 0.811 0.811 0.567
I2 0.602 0.255 0.237
I3 0.744 0.151 0.750
I4 0.255 0.906 0.237
I5 0.151 0.355 0.750
I6 0.355 0.744 0.750
Li1 0.005 0.005 0.984
Li2 0.509 0.509 0.473
Pm1 0.323 0.323 0.031

Results
**E_form (uncorrected)**: -1.10 eV per atom
**Total magnetization**: 0.0 μB/f.u.
**Theoretical density**: 4.42 g/cm³

***

Record 8
## LiPmIn2I6 (PBE)

Data for crystalline LiPmIn2I6 at its relaxed geometry.

Cell: 8.349 8.351 8.539 Å, 60.70 60.71 60.00°
Fractional coordinates of all 10 atoms:
In1 0.024 0.024 0.927
I1 0.674 0.087 0.761
Pm1 0.323 0.323 0.030
I2 0.585 0.166 0.270
I3 0.166 0.980 0.270
I4 0.478 0.674 0.761
I5 0.087 0.478 0.761
Li1 0.815 0.815 0.554
I6 0.980 0.585 0.270
In2 0.529 0.529 0.413

Results
**E_form (uncorrected)**: -0.97 eV per atom
**Total magnetization**: 0.0 μB/f.u.
**Theoretical density**: 4.46 g/cm³

***

Record 9
## LiPrIn2I6 (PBE)

Data for crystalline LiPrIn2I6 at its relaxed geometry.

Cell: 8.378 8.380 8.597 Å, 60.82 60.84 60.00°
Fractional coordinates of all 10 atoms:
Pr1 0.323 0.323 0.030
I1 0.679 0.086 0.758
I2 0.086 0.476 0.758
In1 0.528 0.528 0.417
I3 0.476 0.679 0.758
Li1 0.816 0.816 0.553
I4 0.168 0.974 0.270
In2 0.023 0.023 0.930
I5 0.975 0.588 0.270
I6 0.588 0.168 0.270

Results
**E_form (uncorrected)**: -0.97 eV per atom
**Total magnetization**: 0.0 μB/f.u.
**Theoretical density**: 4.38 g/cm³

***

Record 10
## LiIn2PtI (PBE)

Data for crystalline LiIn2PtI at its relaxed geometry.

Cell: 5.310 4.706 5.310 Å, 90.00 90.00 90.00°
Fractional coordinates of all 5 atoms:
I1 0.000 0.500 0.000
Li1 0.000 0.000 0.000
In1 0.500 0.000 0.000
In2 0.000 0.000 0.500
Pt1 0.500 0.500 0.500

Results
**E_form (uncorrected)**: 0.44 eV per atom
**Total magnetization**: 0.0 μB/f.u.
**Theoretical density**: 6.99 g/cm³

***

Record 11
## LiPuInI6 (PBE)

Data for crystalline LiPuInI6 at its relaxed geometry.

Cell: 7.714 7.714 14.541 Å, 90.00 90.00 120.00°
Last column: magnetic moment on the atom in μB.
Fractional coordinates of all 18 atoms:
I1 0.354 0.998 0.632  -0.08
I2 0.998 0.644 0.368  -0.08
I3 0.356 0.354 0.368  -0.08
Li1 0.667 0.333 0.250  0.00
I4 0.644 0.998 0.868  -0.08
I5 0.646 0.002 0.368  -0.08
In1 0.000 0.000 0.500  -0.07
Pu1 0.333 0.667 0.250  4.88
I6 0.646 0.644 0.132  -0.08
I7 0.002 0.646 0.868  -0.08
I8 0.356 0.002 0.132  -0.08
I9 0.998 0.354 0.132  -0.08
I10 0.354 0.356 0.868  -0.08
I11 0.644 0.646 0.632  -0.08
Li2 0.333 0.667 0.750  0.00
I12 0.002 0.356 0.632  -0.08
Pu2 0.667 0.333 0.750  4.88
In2 0.000 0.000 0.000  -0.07

Results
**E_form (uncorrected)**: -0.85 eV per atom
**Total magnetization**: 4.2 μB/f.u.
**Theoretical density**: 5.00 g/cm³

***

Record 12
## Rb2LiInI5 (PBE)

Data for crystalline Rb2LiInI5 at its relaxed geometry.

Cell: 5.322 10.894 14.682 Å, 90.00 90.00 104.14°
Fractional coordinates of all 18 atoms:
I1 0.298 0.596 0.644
I2 0.948 0.896 0.522
Rb1 0.868 0.737 0.830
I3 0.647 0.295 0.509
Li1 0.765 0.531 0.579
Rb2 0.116 0.233 0.682
Li2 0.235 0.469 0.079
I4 0.353 0.705 0.009
I5 0.702 0.404 0.144
I6 0.689 0.378 0.839
I7 0.506 0.012 0.276
Rb3 0.884 0.767 0.182
Rb4 0.132 0.263 0.330
I8 0.311 0.622 0.339
I9 0.494 0.988 0.776
I10 0.052 0.104 0.022
In1 0.428 0.856 0.444
In2 0.572 0.144 0.944

Results
**E_form (uncorrected)**: -1.05 eV per atom
**Total magnetization**: 0.0 μB/f.u.
**Theoretical density**: 3.73 g/cm³

***

Record 13
## RbLiIn2I8 (PBE)

Data for crystalline RbLiIn2I8 at its relaxed geometry.

Cell: 7.617 7.617 10.769 Å, 90.00 90.00 120.00°
Fractional coordinates of all 12 atoms:
In1 0.333 0.667 0.743
I1 0.991 0.311 0.671
I2 0.311 0.319 0.329
I3 0.333 0.667 0.000
I4 0.667 0.333 0.000
Li1 0.000 0.000 0.500
In2 0.667 0.333 0.257
I5 0.319 0.009 0.671
I6 0.689 0.681 0.671
I7 0.009 0.689 0.329
Rb1 0.000 0.000 0.000
I8 0.681 0.991 0.329

Results
**E_form (uncorrected)**: -0.79 eV per atom
**Total magnetization**: 0.0 μB/f.u.
**Theoretical density**: 4.10 g/cm³

***

Record 14
## Rb2LiInI4 (PBE)

Data for crystalline Rb2LiInI4 at its relaxed geometry.

Cell: 9.954 9.954 9.990 Å, 120.12 120.12 89.42°
Fractional coordinates of all 16 atoms:
I1 0.246 0.254 0.027
I2 0.754 0.746 0.527
Li1 0.000 0.000 0.000
Rb1 0.500 0.000 0.500
I3 0.210 0.773 0.992
I4 0.754 0.746 0.973
I5 0.790 0.227 0.008
Rb2 0.000 0.000 0.500
In1 0.000 0.500 0.000
I6 0.273 0.710 0.492
Li2 0.500 0.500 0.500
In2 0.000 0.500 0.500
I7 0.727 0.290 0.508
Rb3 0.500 0.000 0.000
Rb4 0.500 0.500 0.000
I8 0.246 0.254 0.473

Results
**E_form (uncorrected)**: -1.11 eV per atom
**Total magnetization**: 0.0 μB/f.u.
**Theoretical density**: 3.79 g/cm³

***

Record 15
## RbLi2InI6 (PBE)

Data for crystalline RbLi2InI6 at its relaxed geometry.

Cell: 7.850 7.839 8.590 Å, 62.77 62.69 59.92°
Fractional coordinates of all 10 atoms:
I1 0.333 0.738 0.760
Rb1 0.806 0.806 0.582
I2 0.738 0.169 0.760
I3 0.923 0.579 0.228
I4 0.579 0.270 0.227
In1 0.326 0.326 0.022
I5 0.270 0.923 0.228
Li1 0.513 0.514 0.459
Li2 0.002 0.004 0.990
I6 0.170 0.333 0.760

Results
**E_form (uncorrected)**: -0.92 eV per atom
**Total magnetization**: 0.0 μB/f.u.
**Theoretical density**: 4.17 g/cm³

***

Record 16
## RbLiInI3 (PBE)

Data for crystalline RbLiInI3 at its relaxed geometry.

Cell: 4.812 10.741 10.868 Å, 98.23 90.00 90.00°
Fractional coordinates of all 12 atoms:
I1 0.750 0.170 0.492
I2 0.250 0.115 0.848
I3 0.250 0.830 0.508
Rb1 0.750 0.841 0.801
In1 0.250 0.639 0.162
I4 0.750 0.885 0.152
Li1 0.750 0.911 0.406
Rb2 0.250 0.159 0.199
In2 0.750 0.361 0.838
Li2 0.250 0.089 0.594
I5 0.250 0.596 0.857
I6 0.750 0.404 0.143

Results
**E_form (uncorrected)**: -1.04 eV per atom
**Total magnetization**: 0.0 μB/f.u.
**Theoretical density**: 3.51 g/cm³

***

Record 17
## RbLiIn2I6 (PBE)

Data for crystalline RbLiIn2I6 at its relaxed geometry.

Cell: 8.541 8.562 8.607 Å, 89.99 119.87 119.81°
Fractional coordinates of all 10 atoms:
I1 0.556 0.952 0.679
I2 0.739 0.601 0.676
Li1 0.948 0.970 0.906
In1 0.602 0.801 0.389
I3 0.481 0.033 0.176
I4 0.740 0.707 0.175
I5 0.089 0.135 0.676
Rb1 0.035 0.517 0.537
In2 0.619 0.309 0.913
I6 0.157 0.451 0.175

Results
**E_form (uncorrected)**: -0.78 eV per atom
**Total magnetization**: 0.0 μB/f.u.
**Theoretical density**: 4.02 g/cm³

***

Record 18
## Li2InSI (PBE)

Data for crystalline Li2InSI at its relaxed geometry.

Cell: 4.795 4.795 6.172 Å, 90.00 90.00 90.00°
Fractional coordinates of all 5 atoms:
S1 0.000 0.000 0.000
In1 0.000 0.000 0.500
Li1 0.000 0.500 0.000
Li2 0.500 0.000 0.000
I1 0.500 0.500 0.500

Results
**E_form (uncorrected)**: -0.81 eV per atom
**Energy above the lowest structure with this stoichiometry**: 0.000 eV per atom
**Total magnetization**: 0.0 μB/f.u.
**Theoretical density**: 3.37 g/cm³

***

Record 19
## Li2InSI (PBE)

Data for crystalline Li2InSI at its relaxed geometry.

Cell: 5.844 4.757 5.844 Å, 90.00 90.00 90.00°
Fractional coordinates of all 5 atoms:
S1 0.000 0.500 0.000
Li1 0.000 0.000 0.500
I1 0.500 0.500 0.500
In1 0.000 0.000 0.000
Li2 0.500 0.000 0.000

Results
**E_form (uncorrected)**: -0.12 eV per atom
**Energy above the lowest structure with this stoichiometry**: 0.684 eV per atom
**Total magnetization**: 0.0 μB/f.u.
**Theoretical density**: 2.94 g/cm³

***

Record 20
## LiInSb2I (PBE)

Data for crystalline LiInSb2I at its relaxed geometry.

Cell: 5.039 5.039 6.120 Å, 90.00 90.00 90.00°
Fractional coordinates of all 5 atoms:
Sb1 0.000 0.500 0.000
Li1 0.000 0.000 0.000
In1 0.500 0.500 0.500
Sb2 0.500 0.000 0.000
I1 0.000 0.000 0.500

Results
**E_form (uncorrected)**: 0.17 eV per atom
**Energy above the lowest structure with this stoichiometry**: 0.000 eV per atom
**Total magnetization**: 0.0 μB/f.u.
**Theoretical density**: 5.26 g/cm³